1.
DFT (PBE) results for crystalline Tl2Ga3Sn5 at its relaxed geometry. Values from VASP.

Quantum ESPRESSO input file:
```
&SYSTEM
  ibrav = 0, nat = 20, ntyp = 3
/
ATOMIC_SPECIES
Ga 69.72 Ga.upf
Tl 204.38 Tl.upf
Sn 118.71 Sn.upf
CELL_PARAMETERS angstrom
6.4005 0.0000 3.4942
2.1028 8.6105 3.7573
-1.0685 -0.1565 9.5663
ATOMIC_POSITIONS crystal
Ga 0.7500 0.0000 0.0000
Tl 0.1290 0.6234 0.1186
Sn 0.3860 0.2462 0.9818
Sn 0.5043 0.7457 0.7457
Sn 0.2500 0.5000 0.5000
Sn 0.7500 0.5000 0.5000
Sn 0.8860 0.9818 0.2462
Tl 0.6290 0.1186 0.6234
Ga 0.8774 0.7472 0.4980
Tl 0.3710 0.8814 0.3766
Sn 0.6140 0.7538 0.0182
Tl 0.8710 0.3766 0.8814
Sn 0.9957 0.2543 0.2543
Sn 0.4957 0.2543 0.2543
Ga 0.6226 0.5020 0.2528
Sn 0.0043 0.7457 0.7457
Ga 0.1226 0.2528 0.5020
Sn 0.1140 0.0182 0.7538
Ga 0.2500 0.0000 0.0000
Ga 0.3774 0.4980 0.7472
```

Output
- Volume: 562 Å³/cell
- Electronic total energy: -3.35 eV per atom
- ΔE_f: 0.04 eV/atom

***

2.
DFT (PBE) results for crystalline MgFe2Co2 at its relaxed geometry. Values from VASP.

Quantum ESPRESSO input file:
```
&SYSTEM
  ibrav = 0, nat = 10, ntyp = 3
/
ATOMIC_SPECIES
Co 58.93 Co.upf
Mg 24.30 Mg.upf
Fe 55.84 Fe.upf
CELL_PARAMETERS angstrom
-2.6833 2.7131 -5.7515
-5.0961 -4.6516 0.1832
-1.4938 1.6955 1.4968
ATOMIC_POSITIONS crystal
Co 0.8620 0.6380 0.0000
Mg 0.0000 0.0000 0.0000
Fe 0.6546 0.8454 0.5000
Fe 0.1546 0.6546 0.5000
Mg 0.5000 0.5000 0.0000
Co 0.3620 0.8620 0.0000
Co 0.1380 0.3620 0.0000
Co 0.6380 0.1380 0.0000
Fe 0.8454 0.3454 0.5000
Fe 0.3454 0.1546 0.5000
```

Output
- Volume: 129 Å³/cell
- Electronic total energy: -6.45 eV per atom
- ΔE_f: 0.10 eV/atom
- E above lowest polymorph: 0.000 eV per atom